# 1
Compound: CaYCo
Source: Alexandria
Functional: PBE-GGA
Structure: optimized geometry

Cell: 6.9088 6.9088 6.9088 Å, 151.49 151.49 40.76°
Element x y z (fractional)
Ca (0.0000, 0.0000, 0.0000)
Y (0.7461, 0.7461, 0.0000)
Co (0.3574, 0.3574, 0.0000)

Summary:
Energy (eV for the cell shown): -15.46
Crystal system: tetragonal
Formation energy from the elements (eV per atom): 0.04
Magnetic moment (μB per cell): 0.2

=====

# 2
Compound: Ca2YCo2
Source: Alexandria
Functional: PBE-GGA
Structure: optimized geometry

Cell: 5.9694 5.9694 5.9694 Å, 131.84 131.84 70.48°
Element x y z (fractional)
Ca (0.1509, 0.1509, 0.0000)
Ca (0.8491, 0.8491, 0.0000)
Y (0.5000, 0.5000, 0.0000)
Co (0.2500, 0.7500, 0.5000)
Co (0.7500, 0.2500, 0.5000)

Summary:
Energy (eV for the cell shown): -21.82
Crystal system: tetragonal
Formation energy from the elements (eV per atom): 0.57
Magnetic moment (μB per cell): 1.1

=====

# 3
Compound: CaY2Co2
Source: Alexandria
Functional: PBE-GGA
Structure: optimized geometry

Cell: 8.1326 8.1326 3.2275 Å, 90.00 90.00 90.00°
Element x y z (fractional)
Ca (0.0000, 0.0000, 0.0000)
Ca (0.5000, 0.5000, 0.0000)
Y (0.1393, 0.3607, 0.0000)
Y (0.3607, 0.8607, 0.0000)
Y (0.6393, 0.1393, 0.0000)
Y (0.8607, 0.6393, 0.0000)
Co (0.1528, 0.6528, 0.5000)
Co (0.3472, 0.1528, 0.5000)
Co (0.6528, 0.8472, 0.5000)
Co (0.8472, 0.3472, 0.5000)

Summary:
Energy (eV for the cell shown): -56.88
Crystal system: tetragonal
Formation energy from the elements (eV per atom): 0.14
Magnetic moment (μB per cell): 0.0

=====

# 4
Compound: CaY2Co2
Source: Alexandria
Functional: PBE-GGA
Structure: optimized geometry

Cell: 7.8297 7.8297 3.5784 Å, 90.00 90.00 90.00°
Element x y z (fractional)
Ca (0.0000, 0.0000, 0.0000)
Ca (0.5000, 0.5000, 0.0000)
Y (0.1510, 0.3490, 0.5000)
Y (0.3490, 0.8490, 0.5000)
Y (0.6510, 0.1510, 0.5000)
Y (0.8490, 0.6510, 0.5000)
Co (0.1371, 0.6371, 0.0000)
Co (0.3629, 0.1371, 0.0000)
Co (0.6371, 0.8629, 0.0000)
Co (0.8629, 0.3629, 0.0000)

Summary:
Energy (eV for the cell shown): -58.18
Crystal system: tetragonal
Formation energy from the elements (eV per atom): 0.01
Magnetic moment (μB per cell): 0.4

=====

# 5
Compound: CaYCo
Source: Alexandria
Functional: PBE-GGA
Structure: optimized geometry

Cell: 4.7518 4.7518 4.7518 Å, 60.00 60.00 60.00°
Element x y z (fractional)
Ca (0.0000, 0.0000, 0.0000)
Y (0.5000, 0.5000, 0.5000)
Co (0.2500, 0.2500, 0.2500)

Summary:
Energy (eV for the cell shown): -15.02
Crystal system: cubic
Formation energy from the elements (eV per atom): 0.18
Magnetic moment (μB per cell): 0.0

=====

# 6
Compound: CaY12Co6
Source: Alexandria
Functional: PBE-GGA
Structure: optimized geometry

Cell: 8.5504 8.5504 8.5504 Å, 109.47 109.47 109.47°
Element x y z (fractional)
Ca (0.0000, 0.0000, 0.0000)
Y (0.1157, 0.8040, 0.3117)
Y (0.1960, 0.3117, 0.5077)
Y (0.1960, 0.6883, 0.8843)
Y (0.3117, 0.1157, 0.8040)
Y (0.3117, 0.5077, 0.1960)
Y (0.4923, 0.8040, 0.6883)
Y (0.5077, 0.1960, 0.3117)
Y (0.6883, 0.4923, 0.8040)
Y (0.6883, 0.8843, 0.1960)
Y (0.8040, 0.3117, 0.1157)
Y (0.8040, 0.6883, 0.4923)
Y (0.8843, 0.1960, 0.6883)
Co (0.1115, 0.6115, 0.5000)
Co (0.3885, 0.5000, 0.8885)
Co (0.5000, 0.1115, 0.6115)
Co (0.5000, 0.8885, 0.3885)
Co (0.6115, 0.5000, 0.1115)
Co (0.8885, 0.3885, 0.5000)

Summary:
Energy (eV for the cell shown): -124.61
Crystal system: cubic
Formation energy from the elements (eV per atom): -0.13
Magnetic moment (μB per cell): 0.0

=====

# 7
Compound: CaYCo2
Source: Alexandria
Functional: PBE-GGA
Structure: optimized geometry

Cell: 8.1473 8.1473 8.1473 Å, 24.84 24.84 24.84°
Element x y z (fractional)
Ca (0.0000, 0.0000, 0.0000)
Y (0.5000, 0.5000, 0.5000)
Co (0.2462, 0.2462, 0.2462)
Co (0.7538, 0.7538, 0.7538)

Summary:
Energy (eV for the cell shown): -20.83
Crystal system: trigonal
Formation energy from the elements (eV per atom): 0.46
Magnetic moment (μB per cell): 1.6

=====

# 8
Compound: CaYCo2
Source: Alexandria
Functional: PBE-GGA
Structure: optimized geometry

Cell: 3.4406 3.4406 6.7730 Å, 90.00 90.00 90.00°
Element x y z (fractional)
Ca (0.0000, 0.0000, 0.0000)
Y (0.0000, 0.0000, 0.5000)
Co (0.5000, 0.5000, 0.2882)
Co (0.5000, 0.5000, 0.7118)

Summary:
Energy (eV for the cell shown): -21.98
Crystal system: tetragonal
Formation energy from the elements (eV per atom): 0.17
Magnetic moment (μB per cell): 1.6

=====

# 9
Compound: CaYCo
Source: Alexandria
Functional: PBE-GGA
Structure: optimized geometry

Cell: 3.8230 3.8230 6.5441 Å, 90.00 90.00 120.00°
Element x y z (fractional)
Ca (0.0000, 0.0000, 0.0000)
Y (0.3333, 0.6667, 0.4820)
Co (0.6667, 0.3333, 0.2634)

Summary:
Energy (eV for the cell shown): -15.13
Crystal system: trigonal
Formation energy from the elements (eV per atom): 0.15
Magnetic moment (μB per cell): 0.0

=====

# 10
Compound: CaYCo2
Source: Alexandria
Functional: PBE-GGA
Structure: optimized geometry

Cell: 5.7142 5.7142 5.7142 Å, 139.57 139.57 58.50°
Element x y z (fractional)
Ca (0.0000, 0.0000, 0.0000)
Y (0.7500, 0.2500, 0.5000)
Co (0.2500, 0.7500, 0.5000)
Co (0.5000, 0.5000, 0.0000)

Summary:
Energy (eV for the cell shown): -21.18
Crystal system: tetragonal
Formation energy from the elements (eV per atom): 0.37
Magnetic moment (μB per cell): 1.4

=====

# 11
Compound: CaYCo2
Source: Alexandria
Functional: PBE-GGA
Structure: optimized geometry

Cell: 3.9644 5.5250 5.5250 Å, 44.87 90.00 90.00°
Element x y z (fractional)
Ca (0.0000, 0.0000, 0.0000)
Y (0.5000, 0.7139, 0.7139)
Co (0.0000, 0.3002, 0.3002)
Co (0.5000, 0.3935, 0.3935)

Summary:
Energy (eV for the cell shown): -22.76
Crystal system: orthorhombic
Formation energy from the elements (eV per atom): -0.02
Magnetic moment (μB per cell): 1.1

=====

# 12
Compound: CaYCo2
Source: Alexandria
Functional: PBE-GGA
Structure: optimized geometry

Cell: 5.9713 5.9713 5.9713 Å, 104.79 104.79 119.30°
Element x y z (fractional)
Ca (0.0000, 0.0000, 0.0000)
Ca (0.7500, 0.2500, 0.5000)
Y (0.2500, 0.7500, 0.5000)
Y (0.5000, 0.5000, 0.0000)
Co (0.1322, 0.6250, 0.0072)
Co (0.3750, 0.3822, 0.5072)
Co (0.6178, 0.1250, 0.9928)
Co (0.8750, 0.8678, 0.4928)

Summary:
Energy (eV for the cell shown): -40.98
Crystal system: tetragonal
Formation energy from the elements (eV per atom): 0.55
Magnetic moment (μB per cell): 2.1

=====

Number 1: calculated density 4.2 g/cm³. Number 2: calculated density 4.1 g/cm³. Number 3: calculated density 5.2 g/cm³. Number 4: calculated density 5.1 g/cm³. Number 5: calculated density 4.1 g/cm³. Number 6: calculated density 5.0 g/cm³. Number 7: calculated density 4.9 g/cm³. Number 8: calculated density 5.1 g/cm³. Number 9: calculated density 3.8 g/cm³. Number 10: calculated density 5.3 g/cm³. Number 11: calculated density 4.8 g/cm³. Number 12: calculated density 5.1 g/cm³.